LiBePb | GGA-PBEsol | relaxed

Cell: 3.227 3.227 6.487 Å, 90.00 90.00 120.00°
Element x y z (fractional)
Li 0.333 0.667 0.693
Pb 0.667 0.333 0.312
Be 0.000 0.000 0.995

Summary:
volume = 59 Å³ per cell
E_form = 127 kJ/mol of formula units
ΔE to the lowest computed polymorph = 167 meV per atom
crystal system = trigonal